No. 1
Material: Ti4Mo3W4
Method: DFT, PBE-GGA
State: relaxed

Unit cell a=2.796 b=4.471 c=14.314 alpha=98.98 beta=92.71 gamma=90.07
Atoms (fractional coordinates):
Ti1 0.199 0.273 0.046
Ti2 0.269 0.910 0.320
Ti3 0.731 0.090 0.680
Ti4 0.801 0.727 0.954
Mo1 0.000 0.000 0.500
Mo2 0.098 0.635 0.771
Mo3 0.902 0.365 0.229
W1 0.349 0.545 0.591
W2 0.423 0.180 0.861
W3 0.577 0.820 0.139
W4 0.651 0.455 0.409

Summary:
DFT formation energy in meV per atom: -82

No. 2
Material: MnIrPb2
Method: DFT, PBE-GGA
State: relaxed

Unit cell a=3.284 b=3.284 c=8.265 alpha=90.00 beta=90.00 gamma=90.00
Atoms (fractional coordinates):
Mn1 0.000 0.000 0.000
Ir1 0.500 0.500 0.849
Pb1 0.000 0.000 0.617
Pb2 0.500 0.500 0.232

Summary:
DFT formation energy in meV per atom: 172